DFT (GGA-PBE) results for an optimized crystal structure of CaLa2As.

POSCAR file:
```
CaLa2As
1.0
-3.6888 -4.7662 -1.4897
1.5814 -5.4521 2.5133
-0.8637 5.7688 2.1255
Ca La As
1 2 1
direct
0.7500 0.2500 0.5000 Ca
0.0000 0.0000 0.0000 La
0.2500 0.7500 0.5000 La
0.5000 0.5000 0.0000 As
```

The calculation puts the formation energy at -412 meV per atom. As for the theoretical density: 5.6 g cm⁻³. The crystal system is tetragonal. The calculation puts the density of states at the Fermi level at 1.10 states/eV/atom.